No. 1
## Tm4BSeS2 (PBE)

Data for crystalline Tm4BSeS2 at its relaxed geometry.

Computed properties:
uncorrected formation energy = -1.507 eV per atom
volume = 164.5 Å³ per cell

Unit cell a=6.7279 b=6.7279 c=6.7279 alpha=132.07 beta=132.07 gamma=70.12
Last column: nearest neighbours and their distance in Å.
Atoms (fractional coordinates):
Tm: 0.0045 0.5045 0.5000  3 S 2.70-2.73, 2 B 2.73, 1 Se 2.80
Tm: 0.2300 0.2300 0.0000  1 B 2.53, 2 S 2.74, 2 Se 2.74
Tm: 0.4955 0.9955 0.5000  3 S 2.70-2.73, 2 B 2.73, 1 Se 2.80
Tm: 0.7700 0.7700 0.0000  1 B 2.53, 2 S 2.74, 2 Se 2.74
B: 0.0000 0.0000 0.0000  6 Tm 2.53-2.73
Se: 0.7500 0.2500 0.5000  6 Tm 2.74-2.80
S: 0.2500 0.7500 0.5000  6 Tm 2.70-2.74
S: 0.5000 0.5000 0.0000  6 Tm 2.73-2.97

=====

No. 2
## Tm4BSe2S (PBE)

Data for crystalline Tm4BSe2S at its relaxed geometry.

Computed properties:
uncorrected formation energy = -1.445 eV per atom
volume = 170.4 Å³ per cell

Unit cell a=6.7991 b=6.7991 c=6.7991 alpha=131.95 beta=131.95 gamma=70.30
Last column: nearest neighbours and their distance in Å.
Atoms (fractional coordinates):
Tm: 0.2252 0.2252 0.0000  1 B 2.50, 2 S 2.78, 2 Se 2.78
Tm: 0.5048 0.0048 0.5000  1 S 2.73, 3 Se 2.77-2.83, 2 B 2.77
Tm: 0.7748 0.7748 0.0000  1 B 2.50, 2 S 2.78, 2 Se 2.78
Tm: 0.9952 0.4952 0.5000  1 S 2.73, 3 Se 2.77-2.83, 2 B 2.77
B: 0.0000 0.0000 0.0000  6 Tm 2.50-2.77
Se: 0.2500 0.7500 0.5000  6 Tm 2.78-2.83
Se: 0.5000 0.5000 0.0000  6 Tm 2.77-3.05
S: 0.7500 0.2500 0.5000  6 Tm 2.73-2.78

=====

No. 3
## Tm8BSe3S3 (PBE)

Data for crystalline Tm8BSe3S3 at its relaxed geometry.

Computed properties:
uncorrected formation energy = -1.531 eV per atom
volume = 339.2 Å³ per cell

Unit cell a=7.9039 b=7.9039 c=7.9039 alpha=58.75 beta=58.75 gamma=58.75
Last column: nearest neighbours and their distance in Å.
Atoms (fractional coordinates):
Tm: 0.2422 0.2422 0.2422  3 S 2.68, 3 Se 2.86
Tm: 0.2599 0.7295 0.7295  1 B 2.54, 2 S 2.71, 2 Se 2.84
Tm: 0.2705 0.2705 0.7401  1 B 2.54, 2 S 2.71, 2 Se 2.84
Tm: 0.2705 0.7401 0.2705  1 B 2.54, 2 S 2.71, 2 Se 2.84
Tm: 0.7295 0.2599 0.7295  1 B 2.54, 2 S 2.71, 2 Se 2.84
Tm: 0.7295 0.7295 0.2599  1 B 2.54, 2 S 2.71, 2 Se 2.84
Tm: 0.7401 0.2705 0.2705  1 B 2.54, 2 S 2.71, 2 Se 2.84
Tm: 0.7578 0.7578 0.7578  3 S 2.68, 3 Se 2.86
B: 0.5000 0.5000 0.5000  6 Tm 2.54
Se: 0.0000 0.5000 0.5000  6 Tm 2.84-2.86
Se: 0.5000 0.0000 0.5000  6 Tm 2.84-2.86
Se: 0.5000 0.5000 0.0000  6 Tm 2.84-2.86
S: 0.0000 0.0000 0.5000  6 Tm 2.68-2.71
S: 0.0000 0.5000 0.0000  6 Tm 2.68-2.71
S: 0.5000 0.0000 0.0000  6 Tm 2.68-2.71

=====

No. 4
## Y2BSeS (PBE)

Data for crystalline Y2BSeS at its relaxed geometry.

Computed properties:
uncorrected formation energy = -0.151 eV per atom
volume = 111.5 Å³ per cell

Unit cell a=5.3506 b=5.3506 c=3.8947 alpha=90.00 beta=90.00 gamma=90.00
Last column: nearest neighbours and their distance in Å.
Atoms (fractional coordinates):
Y: 0.0000 0.5000 0.0000  2 Se 2.68
Y: 0.5000 0.0000 0.0000  2 Se 2.68
B: 0.0000 0.0000 0.5000  2 Se 1.95
Se: 0.0000 0.0000 0.0000  2 B 1.95
S: 0.5000 0.5000 0.5000  8 Y 3.31

=====

No. 5
## Y4BSeS2 (PBE)

Data for crystalline Y4BSeS2 at its relaxed geometry.

Computed properties:
uncorrected formation energy = -1.544 eV per atom
volume = 173.4 Å³ per cell

Unit cell a=6.8410 b=6.8410 c=6.8410 alpha=131.98 beta=131.98 gamma=70.26
Last column: nearest neighbours and their distance in Å.
Atoms (fractional coordinates):
Y: 0.0043 0.5043 0.5000  3 S 2.75-2.78, 2 B 2.78, 1 Se 2.85
Y: 0.2320 0.2320 0.0000  1 B 2.60, 2 S 2.79, 2 Se 2.79
Y: 0.4957 0.9957 0.5000  3 S 2.75-2.78, 2 B 2.78, 1 Se 2.85
Y: 0.7680 0.7680 0.0000  1 B 2.60, 2 S 2.79, 2 Se 2.79
B: 0.0000 0.0000 0.0000  6 Y 2.60-2.78
Se: 0.7500 0.2500 0.5000  6 Y 2.79-2.85
S: 0.2500 0.7500 0.5000  6 Y 2.75-2.79
S: 0.5000 0.5000 0.0000  6 Y 2.78-3.00

=====

No. 6
## Y8BSe4S3 (PBE)

Data for crystalline Y8BSe4S3 at its relaxed geometry.

Computed properties:
uncorrected formation energy = -1.744 eV per atom
volume = 362.2 Å³ per cell

Unit cell a=8.0699 b=8.0699 c=8.0699 alpha=58.90 beta=58.90 gamma=58.90
Last column: nearest neighbours and their distance in Å.
Atoms (fractional coordinates):
Y: 0.2427 0.2427 0.2427  3 S 2.75, 3 Se 2.92
Y: 0.2604 0.7297 0.7297  1 B 2.60, 2 S 2.78, 2 Se 2.90
Y: 0.2703 0.2703 0.7396  1 B 2.60, 2 S 2.78, 2 Se 2.90
Y: 0.2703 0.7396 0.2703  1 B 2.60, 2 S 2.78, 2 Se 2.90
Y: 0.7297 0.2604 0.7297  1 B 2.60, 2 S 2.78, 2 Se 2.90
Y: 0.7297 0.7297 0.2604  1 B 2.60, 2 S 2.78, 2 Se 2.90
Y: 0.7396 0.2703 0.2703  1 B 2.60, 2 S 2.78, 2 Se 2.90
Y: 0.7573 0.7573 0.7573  3 S 2.75, 3 Se 2.92
B: 0.5000 0.5000 0.5000  6 Y 2.60
Se: 0.0000 0.0000 0.0000  6 Y 3.06
Se: 0.0000 0.5000 0.5000  6 Y 2.90-2.92
Se: 0.5000 0.0000 0.5000  6 Y 2.90-2.92
Se: 0.5000 0.5000 0.0000  6 Y 2.90-2.92
S: 0.0000 0.0000 0.5000  6 Y 2.75-2.78
S: 0.0000 0.5000 0.0000  6 Y 2.75-2.78
S: 0.5000 0.0000 0.0000  6 Y 2.75-2.78

=====

No. 7
## SiBS (PBE)

Data for crystalline SiBS at its relaxed geometry.

Computed properties:
uncorrected formation energy = -0.112 eV per atom
volume = 95.5 Å³ per cell

Unit cell a=5.4051 b=5.4051 c=5.6272 alpha=90.84 beta=90.84 gamma=35.51
Last column: nearest neighbours and their distance in Å.
Atoms (fractional coordinates):
Si: 0.0000 0.0000 0.0000  2 B 1.99, 1 S 2.23
Si: 0.2258 0.2258 0.8459  1 B 2.03, 2 S 2.26
B: 0.4231 0.4231 0.8581  1 B 1.74
B: 0.4896 0.4896 0.5759  1 B 1.74, 1 S 1.93
S: 0.6770 0.6770 0.5858  1 B 1.93
S: 0.9474 0.9474 0.3825  2 B 2.02, 1 Si 2.23

=====

No. 8
## SiBS (PBE)

Data for crystalline SiBS at its relaxed geometry.

Computed properties:
uncorrected formation energy = 0.061 eV per atom
volume = 45.4 Å³ per cell

Unit cell a=4.8052 b=4.8052 c=3.5740 alpha=108.84 beta=108.84 gamma=35.83
Last column: nearest neighbours and their distance in Å.
Atoms (fractional coordinates):
Si: 0.0000 0.0000 0.0000  2 B 2.04-2.07, 1 S 2.22
B: 0.8819 0.8819 0.3938  2 S 1.91, 2 Si 2.04-2.07
S: 0.2488 0.2488 0.3860  2 B 1.91

=====

No. 9
## SiBS (PBE)

Data for crystalline SiBS at its relaxed geometry.

Computed properties:
uncorrected formation energy = -0.056 eV per atom
volume = 128.0 Å³ per cell

Unit cell a=3.4388 b=4.8964 c=8.4394 alpha=75.80 beta=78.45 gamma=69.44
Last column: nearest neighbours and their distance in Å.
Atoms (fractional coordinates):
Si: 0.0000 0.0000 0.0000  2 B 2.00
Si: 0.1670 0.5044 0.1646  1 B 2.03, 2 S 2.19
B: 0.3072 0.5162 0.8674  1 B 1.58, 1 S 1.70
B: 0.3880 0.2212 0.0029  1 B 1.58
S: 0.1974 0.8572 0.7440  1 B 1.70
S: 0.6047 0.4646 0.3321  2 Si 2.19

=====

No. 10
## SiB2S6 (PBE)

Data for crystalline SiB2S6 at its relaxed geometry.

Computed properties:
uncorrected formation energy = -0.171 eV per atom
volume = 295.2 Å³ per cell

Unit cell a=7.2387 b=7.2387 c=5.8643 alpha=100.01 beta=100.01 gamma=80.61
Last column: nearest neighbours and their distance in Å.
Atoms (fractional coordinates):
Si: 0.1099 0.8901 0.7500  6 S 2.27-2.40
Si: 0.8901 0.1099 0.2500  6 S 2.27-2.40
B: 0.2083 0.3614 0.6601  4 S 1.92-1.94
B: 0.3614 0.2083 0.1601  4 S 1.92-1.94
B: 0.6386 0.7917 0.8399  4 S 1.92-1.94
B: 0.7917 0.6386 0.3399  4 S 1.92-1.94
S: 0.0203 0.1955 0.6271  1 B 1.92
S: 0.1088 0.5958 0.8393  1 B 1.94
S: 0.1955 0.0203 0.1271  1 B 1.92
S: 0.2742 0.4215 0.3781  2 B 1.92-1.93
S: 0.4042 0.8912 0.6607  1 B 1.94
S: 0.4215 0.2742 0.8781  2 B 1.92-1.93
S: 0.5785 0.7258 0.1219  2 B 1.92-1.93
S: 0.5958 0.1088 0.3393  1 B 1.94
S: 0.7258 0.5785 0.6219  2 B 1.92-1.93
S: 0.8045 0.9797 0.8729  1 B 1.92
S: 0.8912 0.4042 0.1607  1 B 1.94
S: 0.9797 0.8045 0.3729  1 B 1.92

=====

No. 11
## SiB3S (PBE)

Data for crystalline SiB3S at its relaxed geometry.

Computed properties:
uncorrected formation energy = 1.591 eV per atom
volume = 66.1 Å³ per cell

Unit cell a=4.0434 b=4.0434 c=4.0434 alpha=90.00 beta=90.00 gamma=90.00
Last column: nearest neighbours and their distance in Å.
Atoms (fractional coordinates):
Si: 0.0000 0.0000 0.0000  6 B 2.02
B: 0.0000 0.0000 0.5000  2 Si 2.02
B: 0.0000 0.5000 0.0000  2 Si 2.02
B: 0.5000 0.0000 0.0000  2 Si 2.02
S: 0.5000 0.5000 0.5000  12 B 2.86

=====

No. 12
## SiBS (PBE)

Data for crystalline SiBS at its relaxed geometry.

Computed properties:
uncorrected formation energy = 0.033 eV per atom
volume = 105.9 Å³ per cell

Unit cell a=3.9461 b=5.1448 c=5.8739 alpha=64.61 beta=84.33 gamma=79.41
Last column: nearest neighbours and their distance in Å.
Atoms (fractional coordinates):
Si: 0.0000 0.0000 0.0000  2 S 2.21-2.25, 2 Si 2.38
Si: 0.4923 0.1831 0.7580  2 B 2.09-2.12
B: 0.3745 0.6300 0.6586  1 B 1.72
B: 0.6791 0.8308 0.6582  1 B 1.72
S: 0.0167 0.5996 0.9328  2 B 2.00-2.01
S: 0.0443 0.9146 0.3987  2 B 1.95-1.99